This record from the Open Quantum Materials Database describes PuInFe after structural relaxation. The functional is PBE-GGA.

Computed properties:
**Space group**: No. 216

a = 4.5951 Å, b = 4.5951 Å, c = 4.5951 Å
α = 60.00°, β = 60.00°, γ = 60.00°
Element x y z (fractional)
Fe 0.2500 0.2500 0.2500
In 0.0000 0.0000 0.0000
Pu 0.7500 0.7500 0.7500

This record from the Open Quantum Materials Database describes RbInFeS3 after structural relaxation. The functional is PBE-GGA.

Computed properties:
**Space group**: No. 11

a = 9.0146 Å, b = 3.8315 Å, c = 9.5218 Å
α = 90.00°, β = 109.92°, γ = 90.00°
Element x y z (fractional)
Fe 0.4247 0.7500 0.4116
Fe 0.5753 0.2500 0.5884
In 0.1598 0.2500 0.1335
In 0.8402 0.7500 0.8665
Rb 0.7091 0.2500 0.2390
Rb 0.2909 0.7500 0.7610
S 0.3710 0.7500 0.1560
S 0.9699 0.7500 0.1567
S 0.3029 0.2500 0.4624
S 0.6971 0.7500 0.5376
S 0.0301 0.2500 0.8433
S 0.6290 0.2500 0.8440

Calculated total energy (computed, eV per atom): -6.729 -4.760
Total moment (computed, μB/cell): 0.36 7.48